No. 1
This record from Alexandria via LeMat-Bulk describes Zn5Rh3 after structural relaxation. The functional is PBE.

ΔE to the lowest computed polymorph in meV per atom: 0
Calculated volume in Å³/f.u.: 111.7
Crystal system: orthorhombic

```
data_Zn5Rh3
_chemical_formula_sum 'Zn10 Rh6'
_cell_length_a 6.8533
_cell_length_b 7.9601
_cell_length_c 4.0945
_cell_angle_alpha 90.00
_cell_angle_beta 90.00
_cell_angle_gamma 90.00
_space_group_name_H-M_alt 'C m m m'
_space_group_IT_number 65
_space_group_name_Hall '-C 2 2'
loop_
_atom_site_label
_atom_site_type_symbol
_atom_site_fract_x
_atom_site_fract_y
_atom_site_fract_z
Zn1 Zn 0.0000 0.0000 0.0000
Zn2 Zn 0.2220 0.5000 0.5000
Zn3 Zn 0.2500 0.2500 0.0000
Rh1 Rh 0.0000 0.2221 0.5000
Rh2 Rh 0.0000 0.5000 0.0000
```


No. 2
This record from Alexandria via LeMat-Bulk describes BaSi2Ni after structural relaxation. The functional is PBE.

Uncorrected formation energy in eV/atom: -0.323
Calculated volume in Å³/f.u.: 90.5
Crystal system: monoclinic

```
data_BaSi2Ni
_chemical_formula_sum 'Ba1 Si2 Ni1'
_cell_length_a 4.2826
_cell_length_b 4.0365
_cell_length_c 5.4394
_cell_angle_alpha 90.00
_cell_angle_beta 105.83
_cell_angle_gamma 90.00
_space_group_name_H-M_alt 'P 1 2/m 1'
_space_group_IT_number 10
loop_
_space_group_symop_operation_xyz
'x,y,z'
'-x,-y,-z'
'-x,y,-z'
'x,-y,z'
loop_
_atom_site_label
_atom_site_type_symbol
_atom_site_fract_x
_atom_site_fract_y
_atom_site_fract_z
Ba1 Ba 0.0000 0.0000 0.0000
Si1 Si 0.2939 0.5000 0.6097
Ni1 Ni 0.5000 0.0000 0.5000
```


No. 3
This record from Alexandria via LeMat-Bulk describes Hf6TlIr after structural relaxation. The functional is PBE.

Raw total energy in eV/atom: -8.792
Calculated volume in Å³/f.u.: 184.2
Crystal system: trigonal

```
data_Hf6TlIr
_chemical_formula_sum 'Hf18 Tl3 Ir3'
_cell_length_a 9.6872
_cell_length_b 9.6872
_cell_length_c 6.7990
_cell_angle_alpha 90.00
_cell_angle_beta 90.00
_cell_angle_gamma 120.00
_space_group_name_H-M_alt 'R -3 m'
_space_group_IT_number 166
_space_group_name_Hall '-R 3 2"'
loop_
_atom_site_label
_atom_site_type_symbol
_atom_site_fract_x
_atom_site_fract_y
_atom_site_fract_z
Hf1 Hf 0.0342 0.5171 0.2874
Tl1 Tl 0.0000 0.0000 0.0000
Ir1 Ir 0.0000 0.0000 0.5000
```


No. 4
This record from Alexandria via LeMat-Bulk describes NaCdNiB2 after structural relaxation. The functional is PBE.

Raw total energy in eV/atom: -3.622
Calculated volume in Å³/f.u.: 75.6
Crystal system: tetragonal

```
data_NaCdNiB2
_chemical_formula_sum 'Na1 Cd1 Ni1 B2'
_cell_length_a 3.9269
_cell_length_b 3.9269
_cell_length_c 4.9014
_cell_angle_alpha 90.00
_cell_angle_beta 90.00
_cell_angle_gamma 90.00
_space_group_name_H-M_alt 'P 4/m m m'
_space_group_IT_number 123
_space_group_name_Hall '-P 4 2'
loop_
_atom_site_label
_atom_site_type_symbol
_atom_site_fract_x
_atom_site_fract_y
_atom_site_fract_z
Na1 Na 0.0000 0.0000 0.0000
Cd1 Cd 0.5000 0.5000 0.0000
Ni1 Ni 0.5000 0.5000 0.5000
B1 B 0.0000 0.5000 0.5000
```